Material: CaGeAu6
Method: DFT, PBE
State: optimized geometry

```
data_CaGeAu6
_cell_length_a 5.6247
_cell_length_b 5.6247
_cell_length_c 20.9824
_cell_angle_alpha 90.00
_cell_angle_beta 90.00
_cell_angle_gamma 120.00
_space_group_name_H-M_alt 'R -3 m'
_space_group_IT_number 166
_space_group_name_Hall '-R 3 2"'
loop_
_atom_site_label
_atom_site_fract_x
_atom_site_fract_y
_atom_site_fract_z
Ca1 0.0000 0.0000 0.0000
Ge1 0.0000 0.0000 0.5000
Au1 0.0064 0.5032 0.9292
```

Calculated values
crystal system: trigonal

***

Material: CaGe2Au
Method: DFT, PBE
State: optimized geometry

```
data_CaGe2Au
_cell_length_a 4.469
_cell_length_b 4.469
_cell_length_c 18.913
_cell_angle_alpha 90.00
_cell_angle_beta 90.00
_cell_angle_gamma 90.00
_space_group_name_H-M_alt 'I -4 2 d'
_space_group_IT_number 122
_space_group_name_Hall 'I -4 2bw'
loop_
_atom_site_label
_atom_site_fract_x
_atom_site_fract_y
_atom_site_fract_z
Ca1 0.000 0.000 0.000
Ge1 0.160 0.250 0.625
Au1 0.000 0.000 0.500
```

Calculated values
crystal system: tetragonal

***

Material: Ca4Ge3Au5
Method: DFT, PBE
State: optimized geometry

```
data_Ca4Ge3Au5
_cell_length_a 10.784
_cell_length_b 4.574
_cell_length_c 10.742
_cell_angle_alpha 90.00
_cell_angle_beta 94.93
_cell_angle_gamma 90.00
_space_group_name_H-M_alt 'C 1 m 1'
_space_group_IT_number 8
_space_group_name_Hall 'C -2y'
loop_
_atom_site_label
_atom_site_fract_x
_atom_site_fract_y
_atom_site_fract_z
Ca1 0.000 0.000 0.000
Ca2 0.000 0.500 0.496
Ca3 0.199 0.000 0.284
Ca4 0.206 0.500 0.791
Ge1 0.218 0.000 0.589
Ge2 0.402 0.500 0.285
Ge3 0.407 0.000 0.770
Au1 0.006 0.000 0.705
Au2 0.207 0.500 0.092
Au3 0.288 0.500 0.491
Au4 0.297 0.000 0.979
Au5 0.483 0.000 0.211
```

Calculated values
crystal system: monoclinic

***

Formation enthalpy at 0 K in eV/atom, matching the order above: -0.165 -0.264 -0.722
Volume in Å³/atom, matching the order above: 23.95 23.61 22.00
Calculated total energy in eV per cell, matching the order above: -82.806 -62.278 -93.830